Record 1
Pr4Y5Th2: relaxed, PBE.

As for the offset from the most stable computed form: 0 meV/atom. As for the calculated formation energy: 0.65 kcal/mol of atoms. Its calculated density is 6.598 g/cm3.

a b c (Å): 3.6237 9.5819 15.3922
angles (deg): 79.59 134.97 100.82
Sites, in units of the cell vectors:
1 Pr 0.2261 0.1771 0.5457
2 Pr 0.3850 0.7216 0.1751
3 Pr 0.7739 0.8229 0.4543
4 Pr 0.6150 0.2784 0.8249
5 Y 0.6912 0.5480 0.6393
6 Y 0.3088 0.4520 0.3607
7 Y 0.1489 0.9034 0.7326
8 Y 0.5000 0.0000 0.0000
9 Y 0.8511 0.0966 0.2674
10 Th 0.0369 0.6326 0.9072
11 Th 0.9631 0.3674 0.0928

Record 2
In3GaO: relaxed, PBE.

As for the offset from the most stable computed form: 658 meV/atom. Its uncorrected formation energy is 0.513 eV/atom. Its calculated density is 4.938 g/cm3.

a b c (Å): 5.2494 5.2494 5.2494
angles (deg): 90.00 90.00 90.00
Sites, in units of the cell vectors:
1 O 0.5000 0.5000 0.5000
2 Ga 0.0000 0.0000 0.0000
3 In 0.0000 0.5000 0.0000
4 In 0.0000 0.0000 0.5000
5 In 0.5000 0.0000 0.0000

Record 3
LiBiAu2: relaxed, PBE.

As for the offset from the most stable computed form: 23 meV/atom. As for the calculated formation energy: -6.05 kcal/mol of atoms. Its calculated density is 12.675 g/cm3.

a b c (Å): 3.3765 3.3765 7.0079
angles (deg): 90.00 90.00 90.00
Sites, in units of the cell vectors:
1 Au 0.0000 0.0000 0.8006
2 Au 0.0000 0.0000 0.1994
3 Bi 0.5000 0.5000 0.5000
4 Li 0.5000 0.5000 0.0000

Record 4
Tb4Sm5Y4: relaxed, PBE.

As for the calculated formation energy: 0.35 kcal/mol of atoms. Its calculated density is 6.808 g/cm3.

a b c (Å): 5.0653 9.5055 9.5055
angles (deg): 85.93 74.55 74.55
Sites, in units of the cell vectors:
1 Tb 0.7686 0.3857 0.0772
2 Tb 0.2314 0.6143 0.9228
3 Tb 0.8458 0.9228 0.3857
4 Tb 0.1542 0.0772 0.6143
5 Sm 0.6928 0.8464 0.7681
6 Sm 0.3072 0.1536 0.2319
7 Sm 0.0000 0.0000 0.0000
8 Sm 0.5392 0.7681 0.1536
9 Sm 0.4608 0.2319 0.8464
10 Y 0.9229 0.4618 0.6923
11 Y 0.6153 0.3077 0.4618
12 Y 0.0771 0.5382 0.3077
13 Y 0.3847 0.6923 0.5382

Record 5
VFeCu2: relaxed, PBE.

As for the offset from the most stable computed form: 320 meV/atom. As for the calculated formation energy: 13.58 kcal/mol of atoms. Its calculated density is 7.179 g/cm3.

a b c (Å): 6.7153 6.7153 5.3202
angles (deg): 50.87 50.87 90.00
Sites, in units of the cell vectors:
1 Fe 0.0000 0.0000 0.0000
2 Fe 0.7500 0.2500 0.5000
3 Cu 0.6371 0.1250 0.2500
4 Cu 0.1129 0.6250 0.2500
5 Cu 0.3750 0.3629 0.7500
6 Cu 0.8750 0.8871 0.7500
7 V 0.5000 0.5000 0.0000
8 V 0.2500 0.7500 0.5000

Record 6
NaHfMg2V: relaxed, PBE.

As for the calculated formation energy: 24.75 kcal/mol of atoms. Its calculated density is 3.397 g/cm3.

a b c (Å): 5.6951 4.5367 5.6951
angles (deg): 90.00 90.00 90.00
Sites, in units of the cell vectors:
1 Na 0.5000 0.5000 0.5000
2 Mg 0.0000 0.0000 0.5000
3 Mg 0.5000 0.0000 0.0000
4 Hf 0.0000 0.0000 0.0000
5 V 0.0000 0.5000 0.0000

Record 7
Nd8OsPt3I4: relaxed, PBE.

Its uncorrected formation energy is -1.002 eV/atom. Its calculated density is 7.956 g/cm3.

a b c (Å): 8.5135 9.4778 8.5118
angles (deg): 116.66 120.01 90.00
Sites, in units of the cell vectors:
1 Nd 0.2238 0.6867 0.9630
2 Nd 0.2239 0.6867 0.4477
3 Nd 0.2714 0.3145 0.5428
4 Nd 0.7392 0.6867 0.9630
5 Nd 0.2608 0.3133 0.0370
6 Nd 0.7286 0.6855 0.4572
7 Nd 0.7761 0.3133 0.5523
8 Nd 0.7762 0.3133 0.0370
9 Os 0.0000 0.5000 0.0000
10 Pt 0.5000 0.5000 0.0000
11 Pt 0.5000 0.5000 0.5000
12 Pt 0.0000 0.5000 0.5000
13 I 0.5000 0.0000 0.0000
14 I 0.5000 0.0000 0.5000
15 I 0.0000 0.0000 0.0000
16 I 0.0000 0.0000 0.5000

Record 8
SrAcAlSi: relaxed, PBE.

As for the offset from the most stable computed form: 0 meV/atom. Its uncorrected formation energy is -0.414 eV/atom. Its calculated density is 5.059 g/cm3.

a b c (Å): 4.8135 4.2343 6.4216
angles (deg): 90.00 112.01 90.00
Sites, in units of the cell vectors:
1 Sr 0.0353 0.0000 0.0707
2 Ac 0.7539 0.5000 0.5077
3 Al 0.4546 0.5000 0.9092
4 Si 0.3258 0.0000 0.6516

Record 9
Ba4HgAsI2: relaxed, PBE.

Its uncorrected formation energy is -1.144 eV/atom. Its calculated density is 5.024 g/cm3.

a b c (Å): 4.8263 8.6923 8.9202
angles (deg): 107.70 90.00 90.00
Sites, in units of the cell vectors:
1 Ba 0.5000 0.2526 0.2174
2 Ba 0.5000 0.7474 0.7826
3 Ba 0.0000 0.2755 0.7921
4 Ba 0.0000 0.7245 0.2079
5 Hg 0.0000 0.0000 0.0000
6 As 0.5000 0.5000 0.0000
7 I 0.5000 0.0000 0.5000
8 I 0.0000 0.5000 0.5000

Record 10
CoPbS2: relaxed, PBE.

As for the offset from the most stable computed form: 443 meV/atom. Its uncorrected formation energy is 0.107 eV/atom. Its calculated density is 4.725 g/cm3.

a b c (Å): 7.6784 7.6784 7.6784
angles (deg): 32.48 32.48 32.48
Sites, in units of the cell vectors:
1 Pb 0.5000 0.5000 0.5000
2 S 0.9032 0.9032 0.9032
3 S 0.0968 0.0968 0.0968
4 Co 0.0000 0.0000 0.0000

Record 11
CsIn3Te3: relaxed, PBE.

As for the offset from the most stable computed form: 0 meV/atom. Its uncorrected formation energy is -0.377 eV/atom. Its calculated density is 4.495 g/cm3.

a b c (Å): 9.3334 9.3334 10.0003
angles (deg): 62.18 62.18 60.00
Sites, in units of the cell vectors:
1 Cs 0.3338 0.3338 0.9987
2 Cs 0.6662 0.6662 0.0013
3 In 0.4426 0.7888 0.6490
4 In 0.7888 0.1195 0.6490
5 In 0.1195 0.4426 0.6490
6 In 0.8805 0.5574 0.3510
7 In 0.2112 0.8805 0.3510
8 In 0.5574 0.2112 0.3510
9 Te 0.2384 0.5640 0.2924
10 Te 0.9052 0.2384 0.2924
11 Te 0.5640 0.9052 0.2924
12 Te 0.4360 0.0948 0.7076
13 Te 0.0948 0.7616 0.7076
14 Te 0.7616 0.4360 0.7076

Record 12
FePC: relaxed, PBE.

As for the offset from the most stable computed form: 274 meV/atom. As for the calculated formation energy: 9.39 kcal/mol of atoms. Its calculated density is 5.014 g/cm3.

a b c (Å): 2.6481 3.5015 4.1075
angles (deg): 72.77 71.25 67.84
Sites, in units of the cell vectors:
1 P 0.3186 0.1068 0.3343
2 C 0.3390 0.6966 0.7029
3 Fe 0.9709 0.2731 0.8634